First-principles (PBE with a Hubbard U) data for a geometry-optimized Ta3VO structure, as listed in Alexandria via LeMat-Bulk.

Cell lengths 4.2636, 4.2636, 4.2636 Å; angles 90.00, 90.00, 90.00 degrees
Fractional positions:
1 Ta 0.0000 0.0000 0.5000
2 Ta 0.0000 0.5000 0.0000
3 Ta 0.5000 0.0000 0.0000
4 V 0.5000 0.5000 0.5000
5 O 0.0000 0.0000 0.0000

V: 77.50 Å³/cell
Energy above the lowest structure with this stoichiometry: 0 meV/atom